GGA+U SrMn2B2O7, optimized geometry; E_tot = -7.497 eV per atom; symmetry = R32 (155); density of states at the Fermi level = 6.338 states/eV/cell
1.0
2.558 1.477 8.457
-2.558 1.477 8.457
0.000 -2.954 8.457
Sr Mn B O
1 2 2 7
Direct
0.000 0.000 0.000 Sr
0.428 0.428 0.428 Mn
0.572 0.572 0.572 Mn
0.268 0.268 0.268 B
0.732 0.732 0.732 B
0.012 0.472 0.708 O
0.292 0.528 0.988 O
0.472 0.708 0.012 O
0.500 0.500 0.500 O
0.528 0.988 0.292 O
0.708 0.012 0.472 O
0.988 0.292 0.528 O